(1)
# Er3SiSn2 (GGA-PBE, optimized geometry)
# Space-group type: Pnma, No. 62
# Formation energy without anion corrections in meV per atom: -609.5
data_Er3SiSn2
_chemical_formula_sum 'Er12 Si4 Sn8'
_cell_length_a 4.247
_cell_length_b 11.750
_cell_length_c 12.239
_cell_angle_alpha 90.00
_cell_angle_beta 90.00
_cell_angle_gamma 90.00
_symmetry_space_group_name_H-M 'P 1'
_symmetry_Int_Tables_number 1
_symmetry_space_group_name_Hall 'P 1'
loop_
_atom_site_label
_atom_site_type_symbol
_atom_site_fract_x
_atom_site_fract_y
_atom_site_fract_z
Er1 Er 0.750 0.620 0.945
Er2 Er 0.250 0.120 0.555
Er3 Er 0.750 0.546 0.614
Er4 Er 0.250 0.380 0.055
Er5 Er 0.750 0.954 0.114
Er6 Er 0.750 0.221 0.258
Er7 Er 0.750 0.279 0.758
Er8 Er 0.250 0.779 0.742
Er9 Er 0.250 0.454 0.386
Er10 Er 0.250 0.721 0.242
Er11 Er 0.750 0.880 0.445
Er12 Er 0.250 0.046 0.886
Si1 Si 0.750 0.629 0.376
Si2 Si 0.250 0.371 0.624
Si3 Si 0.250 0.129 0.124
Si4 Si 0.750 0.871 0.876
Sn1 Sn 0.750 0.204 0.993
Sn2 Sn 0.750 0.504 0.190
Sn3 Sn 0.250 0.796 0.007
Sn4 Sn 0.250 0.004 0.310
Sn5 Sn 0.750 0.296 0.493
Sn6 Sn 0.250 0.496 0.810
Sn7 Sn 0.250 0.704 0.507
Sn8 Sn 0.750 0.996 0.690

(2)
# VGaTcIr (GGA-PBE, optimized geometry)
# Space-group type: F-43m, No. 216
# Formation energy in eV per atom: -0.44
data_VGaTcIr
_chemical_formula_sum 'V1 Ga1 Tc1 Ir1'
_cell_length_a 4.296
_cell_length_b 4.296
_cell_length_c 4.296
_cell_angle_alpha 60.00
_cell_angle_beta 60.00
_cell_angle_gamma 60.00
_symmetry_space_group_name_H-M 'P 1'
_symmetry_Int_Tables_number 1
_symmetry_space_group_name_Hall 'P 1'
loop_
_atom_site_label
_atom_site_type_symbol
_atom_site_fract_x
_atom_site_fract_y
_atom_site_fract_z
Ir1 Ir 0.500 0.500 0.500
Tc1 Tc 0.000 0.000 0.000
Ga1 Ga 0.250 0.250 0.250
V1 V 0.750 0.750 0.750

(3)
# ScZn2Ga2 (GGA-PBE, optimized geometry)
# Space-group type: P4/mbm, No. 127
# Formation energy in eV per atom: -0.17
data_ScZn2Ga2
_chemical_formula_sum 'Sc2 Zn4 Ga4'
_cell_length_a 7.444
_cell_length_b 7.444
_cell_length_c 3.170
_cell_angle_alpha 90.00
_cell_angle_beta 90.00
_cell_angle_gamma 90.00
_symmetry_space_group_name_H-M 'P 1'
_symmetry_Int_Tables_number 1
_symmetry_space_group_name_Hall 'P 1'
loop_
_atom_site_label
_atom_site_type_symbol
_atom_site_fract_x
_atom_site_fract_y
_atom_site_fract_z
Ga1 Ga 0.680 0.820 0.500
Ga2 Ga 0.820 0.320 0.500
Ga3 Ga 0.180 0.680 0.500
Ga4 Ga 0.320 0.180 0.500
Zn1 Zn 0.879 0.621 0.000
Zn2 Zn 0.121 0.379 0.000
Zn3 Zn 0.379 0.879 0.000
Zn4 Zn 0.621 0.121 0.000
Sc1 Sc 0.500 0.500 0.000
Sc2 Sc 0.000 0.000 0.000

(4)
# CePaNbSn (GGA-PBE, optimized geometry)
# Space-group type: F-43m, No. 216
# Formation energy in eV per atom: 0.09
data_CePaNbSn
_chemical_formula_sum 'Ce1 Pa1 Nb1 Sn1'
_cell_length_a 5.203
_cell_length_b 5.203
_cell_length_c 5.203
_cell_angle_alpha 60.00
_cell_angle_beta 60.00
_cell_angle_gamma 60.00
_symmetry_space_group_name_H-M 'P 1'
_symmetry_Int_Tables_number 1
_symmetry_space_group_name_Hall 'P 1'
loop_
_atom_site_label
_atom_site_type_symbol
_atom_site_fract_x
_atom_site_fract_y
_atom_site_fract_z
Sn1 Sn 0.250 0.250 0.250
Ce1 Ce 0.500 0.500 0.500
Pa1 Pa 0.000 0.000 0.000
Nb1 Nb 0.750 0.750 0.750

(5)
# ReOsPt2 (GGA-PBE, optimized geometry)
# Space-group type: I4/mmm, No. 139
# Polymorph energy (0 for the lowest one) in meV per atom: 213
# Formation energy in eV per atom: 0.13
data_ReOsPt2
_chemical_formula_sum 'Re1 Os1 Pt2'
_cell_length_a 4.868
_cell_length_b 4.868
_cell_length_c 4.869
_cell_angle_alpha 133.28
_cell_angle_beta 133.28
_cell_angle_gamma 68.20
_symmetry_space_group_name_H-M 'P 1'
_symmetry_Int_Tables_number 1
_symmetry_space_group_name_Hall 'P 1'
loop_
_atom_site_label
_atom_site_type_symbol
_atom_site_fract_x
_atom_site_fract_y
_atom_site_fract_z
Pt1 Pt 0.000 0.000 0.000
Pt2 Pt 0.500 0.500 0.000
Os1 Os 0.250 0.750 0.500
Re1 Re 0.750 0.250 0.500

(6)
# TaTiTc2 (GGA-PBE, optimized geometry)
# Space-group type: Fm-3m, No. 225
# Polymorph energy (0 for the lowest one) in meV per atom: 0
# Formation energy in eV per atom: -0.53
data_TaTiTc2
_chemical_formula_sum 'Ta1 Ti1 Tc2'
_cell_length_a 4.452
_cell_length_b 4.452
_cell_length_c 4.452
_cell_angle_alpha 60.00
_cell_angle_beta 60.00
_cell_angle_gamma 60.00
_symmetry_space_group_name_H-M 'P 1'
_symmetry_Int_Tables_number 1
_symmetry_space_group_name_Hall 'P 1'
loop_
_atom_site_label
_atom_site_type_symbol
_atom_site_fract_x
_atom_site_fract_y
_atom_site_fract_z
Tc1 Tc 0.750 0.750 0.750
Tc2 Tc 0.250 0.250 0.250
Ti1 Ti 0.000 0.000 0.000
Ta1 Ta 0.500 0.500 0.500

(7)
# Nb2BN (GGA-PBE, optimized geometry)
# Space-group type: Fm-3m, No. 225
# Polymorph energy (0 for the lowest one) in meV per atom: 821
# Formation energy without anion corrections in meV per atom: 78.4
data_Nb2BN
_chemical_formula_sum 'Nb2 B1 N1'
_cell_length_a 4.010
_cell_length_b 4.010
_cell_length_c 4.010
_cell_angle_alpha 60.00
_cell_angle_beta 60.00
_cell_angle_gamma 60.00
_symmetry_space_group_name_H-M 'P 1'
_symmetry_Int_Tables_number 1
_symmetry_space_group_name_Hall 'P 1'
loop_
_atom_site_label
_atom_site_type_symbol
_atom_site_fract_x
_atom_site_fract_y
_atom_site_fract_z
N1 N 0.500 0.500 0.500
Nb1 Nb 0.250 0.250 0.250
Nb2 Nb 0.750 0.750 0.750
B1 B 0.000 0.000 0.000

(8)
# GdHoInPb (GGA-PBE, optimized geometry)
# Space-group type: F-43m, No. 216
# Formation energy in eV per atom: -0.42
data_GdHoInPb
_chemical_formula_sum 'Gd1 Ho1 In1 Pb1'
_cell_length_a 5.401
_cell_length_b 5.401
_cell_length_c 5.401
_cell_angle_alpha 60.00
_cell_angle_beta 60.00
_cell_angle_gamma 60.00
_symmetry_space_group_name_H-M 'P 1'
_symmetry_Int_Tables_number 1
_symmetry_space_group_name_Hall 'P 1'
loop_
_atom_site_label
_atom_site_type_symbol
_atom_site_fract_x
_atom_site_fract_y
_atom_site_fract_z
Gd1 Gd 0.000 0.000 0.000
In1 In 0.750 0.750 0.750
Ho1 Ho 0.500 0.500 0.500
Pb1 Pb 0.250 0.250 0.250

(9)
# LiCd6F12 (GGA-PBE, optimized geometry)
# Space-group type: R-3, No. 148
# Formation energy without anion corrections in meV per atom: -2187.7
data_LiCd6F12
_chemical_formula_sum 'Li1 Cd6 F12'
_cell_length_a 6.623
_cell_length_b 6.623
_cell_length_c 6.623
_cell_angle_alpha 99.25
_cell_angle_beta 99.25
_cell_angle_gamma 99.25
_symmetry_space_group_name_H-M 'P 1'
_symmetry_Int_Tables_number 1
_symmetry_space_group_name_Hall 'P 1'
loop_
_atom_site_label
_atom_site_type_symbol
_atom_site_fract_x
_atom_site_fract_y
_atom_site_fract_z
Li1 Li 0.000 0.000 0.000
F1 F 0.311 0.068 0.943
F2 F 0.822 0.564 0.419
F3 F 0.068 0.943 0.311
F4 F 0.689 0.932 0.057
F5 F 0.178 0.436 0.581
F6 F 0.943 0.311 0.068
F7 F 0.564 0.419 0.822
F8 F 0.057 0.689 0.932
F9 F 0.581 0.178 0.436
F10 F 0.419 0.822 0.564
F11 F 0.932 0.057 0.689
F12 F 0.436 0.581 0.178
Cd1 Cd 0.868 0.393 0.712
Cd2 Cd 0.393 0.712 0.868
Cd3 Cd 0.132 0.607 0.288
Cd4 Cd 0.288 0.132 0.607
Cd5 Cd 0.712 0.868 0.393
Cd6 Cd 0.607 0.288 0.132

(10)
# LiAcHoSc (GGA-PBE, optimized geometry)
# Space-group type: F-43m, No. 216
# Formation energy in eV per atom: 0.17
data_LiAcHoSc
_chemical_formula_sum 'Li1 Ac1 Ho1 Sc1'
_cell_length_a 5.549
_cell_length_b 5.549
_cell_length_c 5.549
_cell_angle_alpha 60.00
_cell_angle_beta 60.00
_cell_angle_gamma 60.00
_symmetry_space_group_name_H-M 'P 1'
_symmetry_Int_Tables_number 1
_symmetry_space_group_name_Hall 'P 1'
loop_
_atom_site_label
_atom_site_type_symbol
_atom_site_fract_x
_atom_site_fract_y
_atom_site_fract_z
Ac1 Ac 0.500 0.500 0.500
Ho1 Ho 0.000 0.000 0.000
Li1 Li 0.750 0.750 0.750
Sc1 Sc 0.250 0.250 0.250

(11)
# Zn2InMo (GGA-PBE, optimized geometry)
# Space-group type: P2/m, No. 10
# Formation energy in eV per atom: 0.24
data_Zn2InMo
_chemical_formula_sum 'Zn2 In1 Mo1'
_cell_length_a 4.462
_cell_length_b 2.848
_cell_length_c 5.372
_cell_angle_alpha 90.70
_cell_angle_beta 90.00
_cell_angle_gamma 90.00
_symmetry_space_group_name_H-M 'P 1'
_symmetry_Int_Tables_number 1
_symmetry_space_group_name_Hall 'P 1'
loop_
_atom_site_label
_atom_site_type_symbol
_atom_site_fract_x
_atom_site_fract_y
_atom_site_fract_z
Zn1 Zn 0.000 0.224 0.970
Zn2 Zn 0.000 0.276 0.530
Mo1 Mo 0.500 0.750 0.750
In1 In 0.500 0.250 0.250

(12)
# Ta2AgPt (GGA-PBE, optimized geometry)
# Space-group type: I4/mmm, No. 139
# Formation energy in eV per atom: -0.09
data_Ta2AgPt
_chemical_formula_sum 'Ta2 Ag1 Pt1'
_cell_length_a 5.071
_cell_length_b 5.071
_cell_length_c 5.071
_cell_angle_alpha 133.21
_cell_angle_beta 133.21
_cell_angle_gamma 68.32
_symmetry_space_group_name_H-M 'P 1'
_symmetry_Int_Tables_number 1
_symmetry_space_group_name_Hall 'P 1'
loop_
_atom_site_label
_atom_site_type_symbol
_atom_site_fract_x
_atom_site_fract_y
_atom_site_fract_z
Ta1 Ta 0.500 0.500 0.000
Ta2 Ta 0.000 0.000 0.000
Ag1 Ag 0.250 0.750 0.500
Pt1 Pt 0.750 0.250 0.500

no.,V (Å³ per cell),raw total energy (eV per cell)
1,610.67,-123.096
2,56.07,-33.136
3,175.66,-31.583
4,99.61,-29.134
5,60.08,-35.245
6,62.40,-42.587
7,45.59,-34.829
8,111.38,-26.792
9,277.77,-71.427
10,120.83,-16.256
11,68.25,-15.138
12,68.04,-32.954